[1]
## Rb6Cd15Hg8 (PBE-GGA)

Data for crystalline Rb6Cd15Hg8 at its relaxed geometry.

Properties
* SG: Fm-3m
* formation enthalpy at 0 K: -0.085 eV/atom
* M_tot: 0.00 Bohr magnetons per cell

a b c (Å): 10.7498 10.7498 10.7498
angles (deg): 60.00 60.00 60.00
With the nearest neighbours (Å) after each atom.
Positions (direct):
Rb1 0.2142 0.2142 0.7858  4 Hg 3.60, 8 Cd 3.81-3.84
Rb2 0.2142 0.7858 0.2142  4 Hg 3.60, 8 Cd 3.81-3.84
Rb3 0.2142 0.7858 0.7858  4 Hg 3.60, 8 Cd 3.81-3.84
Rb4 0.7858 0.2142 0.2142  4 Hg 3.60, 8 Cd 3.81-3.84
Rb5 0.7858 0.2142 0.7858  4 Hg 3.60, 8 Cd 3.81-3.84
Rb6 0.7858 0.7858 0.2142  4 Hg 3.60, 8 Cd 3.81-3.84
Cd1 0.0000 0.0000 0.5000  4 Cd 3.11, 4 Hg 3.34
Cd2 0.0000 0.5000 0.0000  4 Cd 3.11, 4 Hg 3.34
Cd3 0.0000 0.5000 0.5000  4 Cd 3.11, 4 Hg 3.34
Cd4 0.1750 0.1750 0.1750  6 Cd 3.11-3.22, 3 Hg 3.35
Cd5 0.1750 0.1750 0.4749  6 Cd 3.11-3.22, 3 Hg 3.35
Cd6 0.1750 0.4749 0.1750  6 Cd 3.11-3.22, 3 Hg 3.35
Cd7 0.4749 0.1750 0.1750  6 Cd 3.11-3.22, 3 Hg 3.35
Cd8 0.5000 0.0000 0.0000  4 Cd 3.11, 4 Hg 3.34
Cd9 0.5000 0.0000 0.5000  4 Cd 3.11, 4 Hg 3.34
Cd10 0.5000 0.5000 0.0000  4 Cd 3.11, 4 Hg 3.34
Cd11 0.5000 0.5000 0.5000  8 Hg 3.15
Cd12 0.5251 0.8250 0.8250  6 Cd 3.11-3.22, 3 Hg 3.35
Cd13 0.8250 0.5251 0.8250  6 Cd 3.11-3.22, 3 Hg 3.35
Cd14 0.8250 0.8250 0.5251  6 Cd 3.11-3.22, 3 Hg 3.35
Cd15 0.8250 0.8250 0.8250  6 Cd 3.11-3.22, 3 Hg 3.35
Hg1 0.1417 0.6194 0.6194  7 Cd 3.15-3.35
Hg2 0.3806 0.3806 0.3806  7 Cd 3.15-3.35
Hg3 0.3806 0.3806 0.8583  7 Cd 3.15-3.35
Hg4 0.3806 0.8583 0.3806  7 Cd 3.15-3.35
Hg5 0.6194 0.1417 0.6194  7 Cd 3.15-3.35
Hg6 0.6194 0.6194 0.1417  7 Cd 3.15-3.35
Hg7 0.6194 0.6194 0.6194  7 Cd 3.15-3.35
Hg8 0.8583 0.3806 0.3806  7 Cd 3.15-3.35

=====

[2]
## Ce4GaCo4 (PBE-GGA)

Data for crystalline Ce4GaCo4 at its relaxed geometry.

Properties
* SG: I4/m
* formation enthalpy at 0 K: -0.232 eV/atom
* M_tot: 0.00 Bohr magnetons per cell

a b c (Å): 6.5452 6.5452 6.5452
angles (deg): 97.95 97.95 136.34
With the nearest neighbours (Å) after each atom.
Positions (direct):
Ce1 0.0844 0.7102 0.7945  2 Co 2.45
Ce2 0.2898 0.0844 0.3742  2 Co 2.45
Ce3 0.7102 0.9156 0.6258  2 Co 2.45
Ce4 0.9156 0.2898 0.2055  2 Co 2.45
Ga1 0.5000 0.5000 0.0000  4 Co 2.33
Co1 0.2411 0.4200 0.6611  1 Ga 2.33, 2 Ce 2.45
Co2 0.4200 0.7589 0.1789  1 Ga 2.33, 2 Ce 2.45
Co3 0.5800 0.2411 0.8211  1 Ga 2.33, 2 Ce 2.45
Co4 0.7589 0.5800 0.3389  1 Ga 2.33, 2 Ce 2.45

=====

[3]
## PuSiSn (PBE-GGA)

Data for crystalline PuSiSn at its relaxed geometry.

Properties
* SG: P-6m2
* M_tot: 5.68 Bohr magnetons per cell
* formation energy from raw total energies: -122 meV/atom

a b c (Å): 4.6671 4.6671 3.6002
angles (deg): 90.00 90.00 120.00
With the nearest neighbours (Å) after each atom.
Positions (direct):
Pu1 0.0000 0.0000 0.0000  6 Sn 3.24, 6 Si 3.24, 2 Pu 3.60
Si1 0.3333 0.6667 0.5000  3 Sn 2.69
Sn1 0.6667 0.3333 0.5000  3 Si 2.69

=====

[4]
## LiAc2Ni2 (PBE-GGA)

Data for crystalline LiAc2Ni2 at its relaxed geometry.

Properties
* SG: Cmmm
* formation enthalpy at 0 K: -0.183 eV/atom
* M_tot: 0.00 Bohr magnetons per cell

a b c (Å): 4.1251 15.5824 4.0551
angles (deg): 90.00 90.00 90.00
With the nearest neighbours (Å) after each atom.
Positions (direct):
Li1 0.0000 0.0000 0.0000  2 Ni 3.21
Li2 0.5000 0.5000 0.0000  2 Ni 3.21
Ac1 0.0000 0.3589 0.5000  6 Ni 3.07-3.12
Ac2 0.0000 0.6411 0.5000  6 Ni 3.07-3.12
Ac3 0.5000 0.1411 0.5000  6 Ni 3.07-3.12
Ac4 0.5000 0.8589 0.5000  6 Ni 3.07-3.12
Ni1 0.0000 0.2063 0.0000  2 Ni 2.47
Ni2 0.0000 0.7937 0.0000  2 Ni 2.47
Ni3 0.5000 0.2937 0.0000  2 Ni 2.47
Ni4 0.5000 0.7063 0.0000  2 Ni 2.47